TaBeRe2: optimized geometry, PBEsol.

- total moment (μB/cell) = 0.00
- formation enthalpy at 0 K (eV per atom) = 0.1324
- E above lowest polymorph (meV per atom) = 47
- N(E_F) (states/eV/atom) = 0.7292

Cell: 6.100 6.100 6.100 Å, 90.00 90.00 90.00°
Space group F-43m (No. 216)
Symmetry-distinct sites (fractional):
Ta  0.000  0.000  0.000
Be  0.250  0.250  0.250
Re  0.000  0.000  0.500
Re  0.250  0.250  0.750

TaBeRe2: optimized geometry, PBEsol.

- total moment (μB/cell) = 0.00
- formation enthalpy at 0 K (eV per atom) = 0.0850
- E above lowest polymorph (meV per atom) = 0
- N(E_F) (states/eV/atom) = 0.4783

Cell: 3.289 4.138 4.148 Å, 90.00 90.00 90.00°
Space group Pmmm (No. 47)
Symmetry-distinct sites (fractional):
Ta  0.000  0.000  0.000
Be  0.500  0.000  0.500
Re  0.000  0.500  0.500
Re  0.500  0.500  0.000

TaBeRe: optimized geometry, PBEsol.

- total moment (μB/cell) = 0.00
- formation enthalpy at 0 K (eV per atom) = 0.2293
- N(E_F) (states/eV/atom) = 0.5285

Cell: 3.0682 3.0682 5.0777 Å, 90.00 90.00 120.00°
Space group P3m1 (No. 156)
Symmetry-distinct sites (fractional):
Ta  0.0000  0.0000  0.0000
Be  0.3333  0.6667  0.6767
Re  0.6667  0.3333  0.3964

Be2ReTc: optimized geometry, PBEsol.

- total moment (μB/cell) = 0.00
- formation enthalpy at 0 K (eV per atom) = -0.0124
- E above lowest polymorph (meV per atom) = 169
- N(E_F) (states/eV/atom) = 0.5216

Cell: 2.906 2.906 5.528 Å, 90.00 90.00 90.00°
Space group P4mm (No. 99)
Symmetry-distinct sites (fractional):
Be  0.000  0.000  0.000
Be  0.500  0.500  0.192
Re  0.000  0.000  0.466
Tc  0.500  0.500  0.728

Be2ReTc2: optimized geometry, PBEsol.

- total moment (μB/cell) = 0.00
- formation enthalpy at 0 K (eV per atom) = -0.2007
- N(E_F) (states/eV/atom) = 0.6759

Cell: 6.162 6.162 2.986 Å, 90.00 90.00 90.00°
Space group P4/mbm (No. 127)
Symmetry-distinct sites (fractional):
Be  0.122  0.378  0.000
Re  0.000  0.000  0.000
Tc  0.171  0.671  0.500

Be2ReTc: optimized geometry, PBEsol.

- total moment (μB/cell) = 0.00
- formation enthalpy at 0 K (eV per atom) = -0.1818
- E above lowest polymorph (meV per atom) = 0
- N(E_F) (states/eV/atom) = 0.4921

Cell: 3.170 3.074 8.695 Å, 90.00 90.00 90.00°
Space group Amm2 (No. 38)
Symmetry-distinct sites (fractional):
Be  0.000  0.000  0.000
Be  0.500  0.000  0.138
Re  0.000  0.000  0.719
Tc  0.500  0.000  0.419

Be3ReTc: optimized geometry, PBEsol.

- total moment (μB/cell) = 1.90
- formation enthalpy at 0 K (eV per atom) = 1.3577
- N(E_F) (states/eV/atom) = 0.5543

Cell: 4.063 4.063 4.063 Å, 90.00 90.00 90.00°
Space group Pm-3m (No. 221)
Symmetry-distinct sites (fractional):
Be  0.000  0.000  0.500
Re  0.000  0.000  0.000
Tc  0.500  0.500  0.500

BeReTe2: optimized geometry, PBEsol.

- total moment (μB/cell) = 0.00
- raw formation energy (eV/atom) = 0.2228
- N(E_F) (states/eV/atom) = 0.5787

Cell: 7.965 3.333 6.366 Å, 90.00 99.56 90.00°
Space group Cm (No. 8)
Symmetry-distinct sites (fractional):
Be  0.000  0.000  0.000
Re  0.280  0.000  0.929
Te  0.044  0.500  0.689
Te  0.276  0.500  0.245